Record 1
Computed, not measured: a geometry-optimized LaAl2SiRh structure at the PBE level of DFT.

Lattice parameters (Å, degrees): 6.261 6.261 6.261 142.34 140.57 55.66
Fractional positions:
La 0.000 0.000 0.000
Al 0.376 0.376 0.000
Al 0.742 0.242 0.500
Si 0.608 0.608 0.000
Rh 0.235 0.735 0.500

Summary:
SG: Imm2 (44)
Formation energy from raw total energies, meV per atom: -755
Magnetization, μB/f.u.: 0.00
Electronic total energy, eV per atom: -5.79
V, Å³ per cell: 95

=====

Record 2
Computed, not measured: a geometry-optimized Dy5ThBi6 structure at the PBE level of DFT.

Lattice parameters (Å, degrees): 7.788 7.788 7.794 99.61 99.61 119.98
Fractional positions:
Dy 0.000 0.000 0.000
Dy 0.167 0.833 0.500
Dy 0.335 0.665 0.000
Dy 0.665 0.335 0.000
Dy 0.833 0.167 0.500
Th 0.500 0.500 0.500
Bi 0.077 0.415 0.246
Bi 0.245 0.245 0.751
Bi 0.415 0.077 0.246
Bi 0.585 0.923 0.754
Bi 0.755 0.755 0.249
Bi 0.923 0.585 0.754

Summary:
SG: C2/m (12)
Energy of formation, eV/atom: -0.818
Magnetization, μB/f.u.: 0.00
Electronic total energy, eV per atom: -5.29
V, Å³ per cell: 386

=====

Record 3
Computed, not measured: a geometry-optimized RbHf3Ag structure at the PBE level of DFT.

Lattice parameters (Å, degrees): 5.298 5.298 5.298 90.00 90.00 90.00
Fractional positions:
Rb 0.000 0.000 0.000
Hf 0.000 0.500 0.500
Hf 0.500 0.000 0.500
Hf 0.500 0.500 0.000
Ag 0.500 0.500 0.500

Summary:
SG: Pm-3m (221)
Energy of formation, eV/atom: 1.290
Magnetization, μB/f.u.: 0.00
Electronic total energy, eV per atom: -5.45
V, Å³ per cell: 149
Energy above the most stable polymorph in this dataset, eV per atom: 0.0000

=====

Q: What is the formula in the first record?
A: LaAl2SiRh

=====

Repeat the third record exactly.
Computed, not measured: a geometry-optimized RbHf3Ag structure at the PBE level of DFT.

Lattice parameters (Å, degrees): 5.298 5.298 5.298 90.00 90.00 90.00
Fractional positions:
Rb 0.000 0.000 0.000
Hf 0.000 0.500 0.500
Hf 0.500 0.000 0.500
Hf 0.500 0.500 0.000
Ag 0.500 0.500 0.500

Summary:
SG: Pm-3m (221)
Energy of formation, eV/atom: 1.290
Magnetization, μB/f.u.: 0.00
Electronic total energy, eV per atom: -5.45
V, Å³ per cell: 149
Energy above the most stable polymorph in this dataset, eV per atom: 0.0000